1.
# Zn2CuCl GGA-PBE optimized geometry
# size of the total moment = 0.000 μB/atom
# formation energy without anion corrections = 0.070 eV per atom
# space group = No. 10
# energy above the lowest structure with this stoichiometry = 172.9 meV/atom
# DOS at the Fermi energy = 0.43 states/eV per cell
data_Zn2CuCl
_space_group_name_H-M_alt 'P 1'
_space_group_IT_number 1
_space_group_name_Hall 'P 1'
_cell_length_a 3.184
_cell_length_b 5.282
_cell_length_c 5.212
_cell_angle_alpha 49.95
_cell_angle_beta 90.00
_cell_angle_gamma 90.00
loop_
_atom_site_label
_atom_site_fract_x
_atom_site_fract_y
_atom_site_fract_z
_atom_site_occupancy
Zn1 0.000 0.000 0.000 1
Zn2 0.500 0.500 0.000 1
Cu1 0.000 0.000 0.500 1
Cl1 0.500 0.500 0.500 1

***

2.
# Gd2ThPa GGA-PBE optimized geometry
# size of the total moment = 3.418 μB/atom
# space group = No. 123
# formation enthalpy at 0 K = 0.82 eV per formula unit
# energy above the lowest structure with this stoichiometry = 39.0 meV/atom
# DOS at the Fermi energy = 8.47 states/eV per cell
data_Gd2ThPa
_space_group_name_H-M_alt 'P 1'
_space_group_IT_number 1
_space_group_name_Hall 'P 1'
_cell_length_a 5.103
_cell_length_b 4.832
_cell_length_c 4.832
_cell_angle_alpha 90.00
_cell_angle_beta 90.00
_cell_angle_gamma 90.00
loop_
_atom_site_label
_atom_site_fract_x
_atom_site_fract_y
_atom_site_fract_z
_atom_site_occupancy
Gd1 0.000 0.000 0.500 1
Gd2 0.000 0.500 0.000 1
Pa1 0.500 0.000 0.000 1
Th1 0.500 0.500 0.500 1